Record 1
InCu2Tc at its PBEsol-relaxed geometry, computed with SCAN.

Unit cell a=5.4451 b=7.7744 c=2.6809 alpha=90.00 beta=90.00 gamma=90.00
Space group Cmmm (No. 65)
Unique sites:
In (0.0000, 0.0000, 0.0000) (multiplicity 2)
Cu (0.2500, 0.2500, 0.5000) (multiplicity 4)
Tc (0.0000, 0.5000, 0.0000) (multiplicity 2)

## Properties
For the density of states at the Fermi level, the calculation gives 0.400 states/eV/atom. The value obtained for the total energy is -24.43 eV per atom. As for the formation enthalpy at 0 K: 0.286 eV per atom.

***

Record 2
Pt2W at its PBEsol-relaxed geometry, computed with SCAN.

Unit cell a=2.7532 b=3.9449 c=8.2516 alpha=90.00 beta=90.00 gamma=90.00
Space group Immm (No. 71)
Unique sites:
Pt (0.0000, 0.0000, 0.1634) (multiplicity 4)
W (0.0000, 0.0000, 0.5000) (multiplicity 2)

## Properties
For the density of states at the Fermi level, the calculation gives 0.484 states/eV/atom. The value obtained for the total energy is -70.42 eV per atom. As for the formation enthalpy at 0 K: -0.395 eV per atom. The relative energy among the computed polymorphs is 0 meV per atom.

***

Record 3
Li9V3W7O28 at its PBEsol-relaxed geometry, computed with SCAN.

Unit cell a=11.4322 b=11.4322 c=14.8173 alpha=90.00 beta=90.00 gamma=120.00
Space group R3m (No. 160, hexagonal axes)
Unique sites:
Li (0.0579, 0.3775, 0.0000) (multiplicity 18)
Li (0.1739, 0.0869, 0.6911) (multiplicity 9)
V (0.1748, 0.3496, 0.1775) (multiplicity 9)
W (0.0000, 0.0000, 0.3098) (multiplicity 3)
W (0.0034, 0.5017, 0.4732) (multiplicity 9)
W (0.0952, 0.1904, 0.5044) (multiplicity 9)
O (0.0000, 0.0000, 0.5622) (multiplicity 3)
O (0.0003, 0.2413, 0.5895) (multiplicity 18)
O (0.0068, 0.2543, 0.1043) (multiplicity 18)
O (0.0118, 0.5059, 0.0891) (multiplicity 9)
O (0.0182, 0.5091, 0.5921) (multiplicity 9)
O (0.0839, 0.1677, 0.2600) (multiplicity 9)
O (0.0841, 0.1682, 0.7565) (multiplicity 9)
O (0.1537, 0.0768, 0.4174) (multiplicity 9)

## Properties
For the density of states at the Fermi level, the calculation gives 0.108 states/eV/atom. The value obtained for the total energy is -17.96 eV per atom. The formation energy without anion corrections is -107.91 eV per formula unit.

***

Repeat the first record exactly.
InCu2Tc at its PBEsol-relaxed geometry, computed with SCAN.

Unit cell a=5.4451 b=7.7744 c=2.6809 alpha=90.00 beta=90.00 gamma=90.00
Space group Cmmm (No. 65)
Unique sites:
In (0.0000, 0.0000, 0.0000) (multiplicity 2)
Cu (0.2500, 0.2500, 0.5000) (multiplicity 4)
Tc (0.0000, 0.5000, 0.0000) (multiplicity 2)

## Properties
For the density of states at the Fermi level, the calculation gives 0.400 states/eV/atom. The value obtained for the total energy is -24.43 eV per atom. As for the formation enthalpy at 0 K: 0.286 eV per atom.

***

Look up the total energy of the first one. -24.43 eV per atom